# Ti2VFeO

A geometry-optimized Ti2VFeO structure (PBE with a Hubbard U, Alexandria).

Properties
final energy = -6.123 eV/atom

a = 5.0070 Å, b = 5.0070 Å, c = 3.6068 Å
α = 90.00°, β = 90.00°, γ = 90.00°
Closest atoms and distances in Å follow each position.
Space group P4/mmm (No. 123)
One atom of each set of equivalent atoms:
Ti: 0.0000 0.5000 0.0000  2 V 2.50
V: 0.0000 0.0000 0.0000  2 O 1.80
Fe: 0.5000 0.5000 0.5000  8 Ti 3.09
O: 0.0000 0.0000 0.5000  2 V 1.80